[1]
YMnO3 | PBE with a Hubbard U | relaxed

```
YMnO3
1.0
5.712 0.000 0.000
0.000 6.681 0.000
-0.158 0.000 6.902
Y Mn O
4 4 12
Cartesian
0.831 1.049 2.285
0.752 2.292 5.736
4.803 4.389 1.166
4.724 5.632 4.617
2.137 4.669 2.975
2.058 5.353 6.426
3.496 1.329 0.476
3.417 2.012 3.927
0.334 4.469 6.057
0.413 5.553 2.606
1.669 0.665 0.177
1.590 2.675 3.628
2.458 4.235 1.107
2.379 5.787 4.558
3.176 0.894 2.344
3.097 2.447 5.795
3.965 4.006 3.274
3.886 6.016 6.725
5.141 1.129 4.296
5.220 2.212 0.845
```

Computed properties:
Size of the total moment   4.00 μB per formula unit
Uncorrected energy   -8.30 eV/atom


[2]
SrCo2F6 | PBE with a Hubbard U | relaxed

```
SrCo2F6
1.0
5.418 0.000 0.000
-2.709 4.692 0.000
0.000 0.000 5.228
Sr Co F
1 2 6
Cartesian
0.000 0.000 0.000
0.000 3.128 2.614
2.709 1.564 2.614
-0.972 1.683 3.725
-1.737 3.009 1.503
1.943 0.000 3.725
0.972 1.683 1.503
3.475 0.000 1.503
1.737 3.009 3.725
```

Computed properties:
Size of the total moment   6.00 μB per formula unit
DOS(E_F)   0.00 states/eV/f.u.
Uncorrected energy   -5.31 eV/atom